LaZr2Zn: relaxed, GGA-PBE.

Results
As for the space group: F-43m. Its energy relative to the elements is 8.22 kJ/mol of atoms. The final energy is -22.9 eV/cell.

a b c (Å): 5.1140 5.1140 5.1140
angles (deg): 60.00 60.00 60.00
Fractional coordinates of all 4 atoms:
Zr 0.0000 0.0000 0.0000
Zr 0.7500 0.7500 0.7500
Zn 0.5000 0.5000 0.5000
La 0.2500 0.2500 0.2500

***

Ho2Te6Os: relaxed, GGA-PBE.

Results
As for the space group: P-62m. The final energy is -44.5 eV/cell.

a b c (Å): 8.3192 8.3192 3.9647
angles (deg): 90.00 90.00 120.00
Fractional coordinates of all 9 atoms:
Te 0.7731 0.7731 0.5000
Te 0.2269 0.0000 0.5000
Te 0.4415 0.4415 0.0000
Te 0.0000 0.2269 0.5000
Te 0.0000 0.5585 0.0000
Te 0.5585 0.0000 0.0000
Ho 0.3333 0.6667 0.5000
Ho 0.6667 0.3333 0.5000
Os 0.0000 0.0000 0.0000

***

BaDyAg: relaxed, GGA-PBE.

Results
The value obtained for the excess energy over the best structure of this formula in the dataset is 1.64 eV per formula unit. As for the space group: F-43m. The final energy is -7.2 eV/cell.

a b c (Å): 5.2968 5.2968 5.2968
angles (deg): 60.00 60.00 60.00
Fractional coordinates of all 3 atoms:
Dy 0.0000 0.0000 0.0000
Ba 0.2500 0.2500 0.2500
Ag 0.5000 0.5000 0.5000

***

BeBIrPb: relaxed, GGA-PBE.

Results
The value obtained for the excess energy over the best structure of this formula in the dataset is 0.00 eV per formula unit. As for the space group: F-43m. The final energy is -19.0 eV/cell.

a b c (Å): 4.2976 4.2976 4.2976
angles (deg): 60.00 60.00 60.00
Fractional coordinates of all 4 atoms:
Pb 0.5000 0.5000 0.5000
B 0.2500 0.2500 0.2500
Be 0.7500 0.7500 0.7500
Ir 0.0000 0.0000 0.0000